--- a ---
Entry from Alexandria via LeMat-Bulk: a relaxed BeOs2Pb crystal (PBE-GGA).

The value obtained for the mass density is 14.4 Mg/m³.

The structure belongs to space group Cm (No. 8); the cell edges are 8.2810, 2.9614 and 5.6587 Å and the angles 90.00°, 96.17° and 90.00°. The distinct sites, in fractional coordinates, are Be at (0.0000, 0.0000, 0.0000), Os at (0.0501, 0.5000, 0.7060), Os at (0.2789, 0.0000, 0.9100) and Pb at (0.2960, 0.5000, 0.3732).

---

--- b ---
Entry from Alexandria via LeMat-Bulk: a relaxed BeOs2Pb crystal (PBE-GGA).

The value obtained for the mass density is 15.9 Mg/m³.

The structure belongs to space group I-4m2 (No. 119); the cell edges are 3.9567, 3.9567 and 7.9510 Å and the angles 90.00°, 90.00° and 90.00°. The distinct sites, in fractional coordinates, are Be at (0.0000, 0.0000, 0.0000), Os at (0.0000, 0.0000, 0.5000), Os at (0.0000, 0.5000, 0.7500) and Pb at (0.0000, 0.5000, 0.2500).

---

Which one sits at the bottom of the stability order? b does.

---

--- a ---
Entry from Alexandria via LeMat-Bulk: a relaxed BeOs2Pb crystal (PBE-GGA).

The value obtained for the mass density is 16.0 Mg/m³.

The structure belongs to space group I4/mmm (No. 139); the cell edges are 4.0130, 4.0130 and 7.7091 Å and the angles 90.00°, 90.00° and 90.00°. The distinct sites, in fractional coordinates, are Be at (0.0000, 0.0000, 0.0000), Os at (0.0000, 0.5000, 0.2500) and Pb at (0.0000, 0.0000, 0.5000).

---

--- b ---
Entry from Alexandria via LeMat-Bulk: a relaxed BeOs2Pb crystal (PBE-GGA).

The value obtained for the mass density is 15.7 Mg/m³.

The structure belongs to space group R-3m (No. 166, hexagonal axes); the cell edges are 3.2479, 3.2479 and 20.7218 Å and the angles 90.00°, 90.00° and 120.00°. The distinct sites, in fractional coordinates, are Be at (0.0000, 0.0000, 0.0000), Os at (0.0000, 0.0000, 0.2768) and Pb at (0.0000, 0.0000, 0.5000).

---

--- c ---
Entry from Alexandria via LeMat-Bulk: a relaxed BeOs2Pb crystal (PBE-GGA).

The value obtained for the mass density is 14.6 Mg/m³.

The structure belongs to space group Cmm2 (No. 35); the cell edges are 2.9304, 5.0005 and 9.2890 Å and the angles 90.00°, 90.00° and 90.00°. The distinct sites, in fractional coordinates, are Be at (0.0000, 0.0000, 0.0000), Os at (0.0000, 0.0000, 0.4215), Os at (0.0000, 0.5000, 0.1898) and Pb at (0.0000, 0.5000, 0.7094).

---

--- d ---
Entry from Alexandria via LeMat-Bulk: a relaxed BeOs2Pb crystal (PBE-GGA).

The value obtained for the mass density is 15.8 Mg/m³.

The structure belongs to space group F-43m (No. 216); the cell edges are 6.3104, 6.3104 and 6.3104 Å and the angles 90.00°, 90.00° and 90.00°. The distinct sites, in fractional coordinates, are Be at (0.0000, 0.0000, 0.0000), Os at (0.0000, 0.0000, 0.5000), Os at (0.2500, 0.2500, 0.7500) and Pb at (0.2500, 0.2500, 0.2500).

---

Which one sits at the bottom of the stability order? d does.

---

--- a ---
Entry from Alexandria via LeMat-Bulk: a relaxed BeOs2Pb crystal (PBE-GGA).

The value obtained for the mass density is 15.5 Mg/m³.

The structure belongs to space group Cmmm (No. 65); the cell edges are 3.0652, 4.8646 and 8.5467 Å and the angles 90.00°, 90.00° and 90.00°. The distinct sites, in fractional coordinates, are Be at (0.0000, 0.0000, 0.0000), Os at (0.0000, 0.5000, 0.1927) and Pb at (0.0000, 0.0000, 0.5000).

---

--- b ---
Entry from Alexandria via LeMat-Bulk: a relaxed BeOs2Pb crystal (PBE-GGA).

The value obtained for the mass density is 15.9 Mg/m³.

The structure belongs to space group P4/mmm (No. 123); the cell edges are 4.0040, 4.0040 and 3.8844 Å and the angles 90.00°, 90.00° and 90.00°. The distinct sites, in fractional coordinates, are Be at (0.0000, 0.0000, 0.0000), Os at (0.0000, 0.5000, 0.5000) and Pb at (0.5000, 0.5000, 0.0000).

---

--- c ---
Entry from Alexandria via LeMat-Bulk: a relaxed BeOs2Pb crystal (PBE-GGA).

The value obtained for the mass density is 16.2 Mg/m³.

The structure belongs to space group Fm-3m (No. 225); the cell edges are 6.2566, 6.2566 and 6.2566 Å and the angles 90.00°, 90.00° and 90.00°. The distinct sites, in fractional coordinates, are Be at (0.0000, 0.0000, 0.0000), Os at (0.2500, 0.2500, 0.2500) and Pb at (0.0000, 0.0000, 0.5000).

---

Which one sits at the bottom of the stability order? b does.

---

--- a ---
Entry from Alexandria via LeMat-Bulk: a relaxed BeOs3Pd crystal (PBE-GGA).

The value obtained for the mass density is 10.7 Mg/m³.

The structure belongs to space group Pm-3m (No. 221); the cell edges are 4.7329, 4.7329 and 4.7329 Å and the angles 90.00°, 90.00° and 90.00°. The distinct sites, in fractional coordinates, are Be at (0.0000, 0.0000, 0.0000), Os at (0.0000, 0.5000, 0.5000) and Pd at (0.5000, 0.5000, 0.5000).

---

--- b ---
Entry from Alexandria via LeMat-Bulk: a relaxed BeOs3Pd crystal (PBE-GGA).

The value obtained for the mass density is 16.5 Mg/m³.

The structure belongs to space group Pm-3m (No. 221); the cell edges are 4.1052, 4.1052 and 4.1052 Å and the angles 90.00°, 90.00° and 90.00°. The distinct sites, in fractional coordinates, are Be at (0.0000, 0.0000, 0.0000), Os at (0.0000, 0.0000, 0.5000) and Pd at (0.5000, 0.5000, 0.5000).

---

Which one sits at the bottom of the stability order? a does.